Record 1
An optimized crystal structure of Tb2CeS4. Source: Alexandria via LeMat-Bulk, functional PBE.

```
Tb2CeS4
1.0
3.899 0.000 0.000
-1.950 6.512 0.000
0.000 0.000 13.220
S Tb Ce
8 4 2
direct
0.500 0.000 0.000 S
0.500 0.000 0.500 S
0.963 0.925 0.750 S
0.227 0.455 0.621 S
0.227 0.455 0.879 S
0.773 0.545 0.121 S
0.037 0.075 0.250 S
0.773 0.545 0.379 S
0.131 0.262 0.433 Tb
0.869 0.738 0.933 Tb
0.869 0.738 0.567 Tb
0.131 0.262 0.067 Tb
0.621 0.243 0.750 Ce
0.379 0.757 0.250 Ce
```

## Properties
Raw formation energy: -2060 meV/atom

=====

Record 2
An optimized crystal structure of Zr2TaCo. Source: Alexandria via LeMat-Bulk, functional PBE.

```
Zr2TaCo
1.0
-3.870 -2.578 0.201
0.199 -4.568 -0.869
-0.584 -3.055 3.462
Ta Zr Co
1 2 1
direct
0.750 0.750 0.750 Ta
0.000 0.000 0.000 Zr
0.250 0.250 0.250 Zr
0.500 0.500 0.500 Co
```

## Properties
Relative energy among the computed polymorphs: 0.234 eV/atom
Formation enthalpy at 0 K: 3.457 kcal/mol of atoms

=====

Record 3
An optimized crystal structure of CuSbF2. Source: Alexandria via LeMat-Bulk, functional PBE.

```
CuSbF2
1.0
0.000 3.065 3.065
3.065 0.000 3.065
3.065 3.065 0.000
F Sb Cu
2 1 1
direct
0.250 0.250 0.250 F
0.750 0.750 0.750 F
0.500 0.500 0.500 Sb
0.000 0.000 0.000 Cu
```

## Properties
Relative energy among the computed polymorphs: 0.347 eV/atom
Raw formation energy: -740 meV/atom

=====

Record 4
An optimized crystal structure of PmCoH4. Source: Alexandria via LeMat-Bulk, functional PBE.

```
PmCoH4
1.0
3.524 0.000 -1.091
0.000 4.812 0.000
-0.034 0.000 6.129
H Co Pm
8 2 2
direct
0.191 0.989 0.382 H
0.589 0.750 0.179 H
0.000 0.500 0.000 H
0.809 0.489 0.618 H
0.000 0.000 0.000 H
0.411 0.250 0.821 H
0.809 0.011 0.618 H
0.191 0.511 0.382 H
0.905 0.250 0.810 Co
0.095 0.750 0.190 Co
0.631 0.250 0.262 Pm
0.369 0.750 0.738 Pm
```

## Properties
Relative energy among the computed polymorphs: 0.000 eV/atom

=====

Record 5
An optimized crystal structure of Tb3Dy2Ir2. Source: Alexandria via LeMat-Bulk, functional PBE.

```
Tb3Dy2Ir2
1.0
3.858 0.000 0.000
-1.929 6.017 -0.417
0.000 -3.316 8.214
Ir Dy Tb
2 2 3
direct
0.821 0.643 0.763 Ir
0.179 0.357 0.237 Ir
0.168 0.337 0.809 Dy
0.832 0.663 0.191 Dy
0.382 0.764 0.570 Tb
0.500 0.000 0.000 Tb
0.618 0.236 0.430 Tb
```

## Properties
Formation enthalpy at 0 K: -14.245 kcal/mol of atoms

=====

Record 6
An optimized crystal structure of Li2AcUCl8. Source: Alexandria via LeMat-Bulk, functional PBE.

```
Li2AcUCl8
1.0
-5.674 -0.939 -4.403
6.736 -0.593 -2.596
-0.032 -8.118 1.773
Cl Ac U Li
8 1 1 2
direct
0.842 0.684 0.228 Cl
0.842 0.158 0.228 Cl
0.667 0.333 0.600 Cl
0.684 0.842 0.772 Cl
0.158 0.316 0.772 Cl
0.158 0.842 0.772 Cl
0.316 0.158 0.228 Cl
0.333 0.667 0.400 Cl
0.000 0.000 0.500 Ac
0.000 0.000 0.000 U
0.667 0.333 0.338 Li
0.333 0.667 0.662 Li
```

## Properties
Raw formation energy: -1772 meV/atom

=====

Record 7
An optimized crystal structure of NdSm2NpN4. Source: Alexandria via LeMat-Bulk, functional PBE.

```
NdSm2NpN4
1.0
3.473 0.000 0.000
-1.737 6.643 0.000
0.000 0.000 11.218
N Sm Np Nd
8 4 2 2
direct
0.000 0.000 0.500 N
0.000 0.000 0.000 N
0.427 0.855 0.250 N
0.201 0.402 0.383 N
0.573 0.145 0.750 N
0.201 0.402 0.117 N
0.799 0.598 0.883 N
0.799 0.598 0.617 N
0.372 0.745 0.486 Sm
0.372 0.745 0.014 Sm
0.628 0.255 0.514 Sm
0.628 0.255 0.986 Sm
0.037 0.074 0.250 Np
0.963 0.926 0.750 Np
0.769 0.537 0.250 Nd
0.231 0.463 0.750 Nd
```

## Properties
Raw formation energy: -1119 meV/atom

=====

Record 8
An optimized crystal structure of Tb6Sm3Dy2Sc. Source: Alexandria via LeMat-Bulk, functional PBE.

```
Tb6Sm3Dy2Sc
1.0
-2.509 -5.449 -1.358
5.070 1.868 -2.940
5.708 -3.851 9.538
Tb Dy Sm Sc
6 2 3 1
direct
0.588 0.919 0.755 Tb
0.751 0.751 0.245 Tb
0.249 0.249 0.755 Tb
0.081 0.412 0.245 Tb
0.919 0.588 0.755 Tb
0.412 0.081 0.245 Tb
0.666 0.334 0.000 Dy
0.334 0.666 0.000 Dy
0.500 0.500 0.500 Sm
0.167 0.833 0.500 Sm
0.833 0.167 0.500 Sm
0.000 0.000 0.000 Sc
```

## Properties
Formation enthalpy at 0 K: 0.596 kcal/mol of atoms

=====

Number 1: uncorrected energy -92.25 eV/cell. Number 2: uncorrected energy -35.46 eV/cell. Number 3: uncorrected energy -14.92 eV/cell. Number 4: uncorrected energy -55.97 eV/cell. Number 5: uncorrected energy -45.14 eV/cell. Number 6: uncorrected energy -55.26 eV/cell. Number 7: uncorrected energy -138.80 eV/cell. Number 8: uncorrected energy -57.16 eV/cell.